# 1
Here is crystalline Fe2TcMo at its relaxed geometry from Alexandria. Energies are from PBE.

As for the formation energy: 0.132 eV/atom. For the excess energy over the best structure of this formula in the dataset, the calculation gives 62 meV per atom.

The structure belongs to space group Cmmm (No. 65); the cell edges are 3.091, 4.156 and 8.491 Å and the angles 90.00°, 90.00° and 90.00°. The asymmetric unit holds Fe at (0.000, 0.000, 0.247), Tc at (0.000, 0.500, 0.000) and Mo at (0.000, 0.500, 0.500).

# 2
Here is crystalline FeTcMo at its relaxed geometry from Alexandria. Energies are from PBE.

As for the formation energy: 0.586 eV/atom. For the excess energy over the best structure of this formula in the dataset, the calculation gives 527 meV per atom.

The structure belongs to space group F-43m (No. 216); the cell edges are 5.696, 5.696 and 5.696 Å and the angles 90.00°, 90.00° and 90.00°. The asymmetric unit holds Fe at (0.000, 0.000, 0.000), Tc at (0.250, 0.250, 0.750) and Mo at (0.250, 0.250, 0.250).